Below is an optimized crystal structure of InPbSeO5, with properties calculated at the GGA-PBE level.

Cell lengths 6.1442, 6.1442, 7.8870 Å; angles 107.74, 107.74, 103.24 degrees
Closest atoms and distances in Å follow each position.
Atoms (fractional coordinates):
In  0.0000  0.0000  0.5000  4 O 2.08-2.26
In  0.0000  0.0000  0.0000  4 O 2.08-2.26
Pb  0.3055  0.6945  0.2500  1 O 2.28
Pb  0.6945  0.3055  0.7500  1 O 2.28
Se  0.7011  0.2989  0.2500  2 O 1.71
Se  0.2989  0.7011  0.7500  2 O 1.71
O  0.0685  0.9315  0.2500  2 In 2.08, 1 Pb 2.28
O  0.9315  0.0685  0.7500  2 In 2.08, 1 Pb 2.28
O  0.8936  0.3311  0.0979  1 Se 1.94
O  0.1064  0.6689  0.9021  1 Se 1.94
O  0.6689  0.1064  0.4021  1 Se 1.94
O  0.3311  0.8936  0.5979  1 Se 1.94
O  0.7721  0.5892  0.4112  1 Se 1.71
O  0.2279  0.4108  0.5888  1 Se 1.71
O  0.4108  0.2279  0.0888  1 Se 1.71
O  0.5892  0.7721  0.9112  1 Se 1.71

Computed properties:
**Crystal system**: monoclinic
**Uncorrected formation energy**: -0.980 eV/atom
**E_tot**: -5.320 eV/atom